Ho8As3SeS4 | PBE | relaxed

Cell: 7.9968 7.9632 7.9974 Å, 120.14 120.00 90.00°
Atoms (fractional coordinates):
1 As 0.5000 0.5000 0.0000
2 S 0.5000 0.0000 0.5000
3 S 0.5000 0.0000 0.0000
4 S 0.0000 0.0000 0.0000
5 Ho 0.2564 0.7587 0.5129
6 Ho 0.7436 0.2413 0.9977
7 As 0.5000 0.5000 0.5000
8 S 0.0000 0.0000 0.5000
9 Ho 0.7459 0.7587 0.0023
10 Ho 0.2490 0.2471 0.4981
11 Ho 0.7436 0.2413 0.4871
12 As 0.0000 0.5000 0.5000
13 Se 0.0000 0.5000 0.0000
14 Ho 0.2564 0.7587 0.0023
15 Ho 0.2541 0.2413 0.9977
16 Ho 0.7510 0.7529 0.5019

Values from the calculation:
**Uncorrected energy**: -6.2141 eV/atom
**Calculated density**: 8093 kg/m3

Mo2RuN | PBE | relaxed

Cell: 4.9641 4.9641 6.3284 Å, 66.91 66.91 90.00°
Atoms (fractional coordinates):
1 Mo 0.5429 0.1250 0.2500
2 N 0.5000 0.5000 0.0000
3 Ru 0.0000 0.0000 0.0000
4 N 0.2500 0.7500 0.5000
5 Mo 0.2071 0.6250 0.2500
6 Ru 0.7500 0.2500 0.5000
7 Mo 0.3750 0.4571 0.7500
8 Mo 0.8750 0.7929 0.7500

Values from the calculation:
**Uncorrected energy**: -9.4741 eV/atom
**Calculated density**: 7856 kg/m3

Pr4TeOsBr2 | PBE | relaxed

Cell: 4.2474 7.9974 7.8850 Å, 107.13 90.00 90.00°
Atoms (fractional coordinates):
1 Os 0.5000 0.5000 0.0000
2 Br 0.0000 0.5000 0.5000
3 Pr 0.5000 0.2776 0.2142
4 Pr 0.5000 0.7224 0.7858
5 Br 0.5000 0.0000 0.5000
6 Pr 0.0000 0.7032 0.2023
7 Te 0.0000 0.0000 0.0000
8 Pr 0.0000 0.2968 0.7977

Values from the calculation:
**Uncorrected energy**: -5.6064 eV/atom
**Calculated density**: 6755 kg/m3

RbTl2Cd2 | PBE | relaxed

Cell: 9.5977 9.5977 3.4506 Å, 90.00 90.00 90.00°
Atoms (fractional coordinates):
1 Rb 0.5000 0.5000 0.0000
2 Tl 0.6382 0.1382 0.0000
3 Tl 0.8618 0.6382 0.0000
4 Cd 0.6532 0.8468 0.5000
5 Tl 0.3618 0.8618 0.0000
6 Cd 0.1532 0.6532 0.5000
7 Cd 0.3468 0.1532 0.5000
8 Tl 0.1382 0.3618 0.0000
9 Cd 0.8468 0.3468 0.5000
10 Rb 0.0000 0.0000 0.0000

Values from the calculation:
**Uncorrected energy**: -1.5232 eV/atom
**Offset from the most stable computed form**: 0.18 eV/f.u.
**Formation energy from the elements**: -0.017 eV per atom
**Calculated density**: 7513 kg/m3

LiAlZnPb | PBE | relaxed

Cell: 4.8451 4.8451 4.8451 Å, 60.00 60.00 60.00°
Atoms (fractional coordinates):
1 Al 0.7500 0.7500 0.7500
2 Pb 0.5000 0.5000 0.5000
3 Li 0.2500 0.2500 0.2500
4 Zn 0.0000 0.0000 0.0000

Values from the calculation:
**Uncorrected energy**: -2.6450 eV/atom
**Formation energy from the elements**: 0.015 eV per atom
**Calculated density**: 6329 kg/m3

Ce3Co2Ge6 | PBE | relaxed

Cell: 4.0549 4.0549 13.8944 Å, 98.39 98.39 90.00°
Atoms (fractional coordinates):
1 Ge 0.0841 0.5841 0.1682
2 Ge 0.4159 0.9159 0.8318
3 Ce 0.8290 0.8290 0.6581
4 Ge 0.2770 0.2770 0.5540
5 Ce 0.0000 0.0000 0.0000
6 Co 0.3613 0.3613 0.7226
7 Ge 0.9159 0.4159 0.8318
8 Ge 0.5841 0.0841 0.1682
9 Co 0.6387 0.6387 0.2774
10 Ge 0.7230 0.7230 0.4460
11 Ce 0.1710 0.1710 0.3419

Values from the calculation:
**Uncorrected energy**: -5.9117 eV/atom
**Formation energy from the elements**: -0.483 eV per atom
**Calculated density**: 7236 kg/m3

Pm3Sm2Th4 | PBE | relaxed

Cell: 6.2568 6.2453 12.9912 Å, 118.53 104.12 119.92°
Atoms (fractional coordinates):
1 Th 0.3353 0.6632 0.9999
2 Th 0.1054 0.2091 0.3304
3 Sm 0.7708 0.5451 0.3296
4 Th 0.6647 0.3368 0.0001
5 Th 0.8946 0.7909 0.6696
6 Sm 0.2292 0.4549 0.6704
7 Pm 0.5584 0.1123 0.6695
8 Pm 0.0000 0.0000 0.0000
9 Pm 0.4416 0.8877 0.3305

Values from the calculation:
**Uncorrected energy**: -5.8605 eV/atom
**Formation energy from the elements**: 0.069 eV per atom
**Calculated density**: 9235 kg/m3

BaNaRhO3 | PBE | relaxed

Cell: 6.1198 5.5855 6.1363 Å, 117.07 90.00 90.00°
Atoms (fractional coordinates):
1 Rh 0.7500 0.9787 0.9574
2 Na 0.7500 0.5889 0.1778
3 O 0.5000 0.2396 0.0000
4 O 0.5000 0.7604 0.0000
5 Ba 0.7500 0.3052 0.6104
6 O 0.2500 0.2109 0.4217
7 Ba 0.2500 0.6948 0.3896
8 Rh 0.2500 0.0213 0.0426
9 O 0.7500 0.7891 0.5783
10 O 0.0000 0.7604 0.0000
11 Na 0.2500 0.4111 0.8222
12 O 0.0000 0.2396 0.0000

Values from the calculation:
**Uncorrected energy**: -5.5904 eV/atom
**Calculated density**: 5534 kg/m3

RbTaBe | PBE | relaxed

Cell: 3.9242 3.9230 12.5161 Å, 98.68 89.90 89.99°
Atoms (fractional coordinates):
1 Be 0.2104 0.9257 0.3646
2 Rb 0.7096 0.6184 0.7690
3 Ta 0.2093 0.4857 0.4894
4 Be 0.7099 0.4256 0.3645
5 Rb 0.2046 0.3084 0.1221
6 Ta 0.7094 0.9854 0.4888

Values from the calculation:
**Uncorrected energy**: -4.9412 eV/atom
**Offset from the most stable computed form**: 0.37 eV/f.u.
**Formation energy from the elements**: 0.574 eV per atom
**Calculated density**: 4802 kg/m3

AlRe2Rh | PBE | relaxed

Cell: 4.6685 4.6685 4.8421 Å, 81.46 81.46 34.41°
Atoms (fractional coordinates):
1 Al 0.2447 0.2447 0.2802
2 Re 0.0022 0.0022 0.9747
3 Re 0.7559 0.7559 0.7827
4 Rh 0.4972 0.4972 0.4623

Values from the calculation:
**Uncorrected energy**: -9.1527 eV/atom
**Formation energy from the elements**: -0.155 eV per atom
**Calculated density**: 14159 kg/m3

Np4Si8Ir | PBE | relaxed

Cell: 3.8715 4.1353 15.0114 Å, 90.00 90.00 90.00°
Atoms (fractional coordinates):
1 Si 0.0000 0.5000 0.9397
2 Si 0.5000 0.0000 0.5692
3 Si 0.0000 0.5000 0.2250
4 Np 0.0000 0.0000 0.0856
5 Si 0.5000 0.5000 0.7609
6 Si 0.5000 0.5000 0.0493
7 Np 0.0000 0.5000 0.6140
8 Si 0.5000 0.0000 0.2204
9 Np 0.5000 0.5000 0.4011
10 Ir 0.0000 0.0000 0.3103
11 Si 0.0000 0.0000 0.4702
12 Np 0.5000 0.0000 0.9014
13 Si 0.0000 0.0000 0.7560

Values from the calculation:
**Uncorrected energy**: -8.2090 eV/atom
**Calculated density**: 9431 kg/m3

Ac2AlI | PBE | relaxed

Cell: 4.1441 4.1441 10.1049 Å, 78.19 78.19 60.02°
Atoms (fractional coordinates):
1 Ac 0.0760 0.0760 0.7720
2 I 0.4998 0.4998 0.5005
3 Al 0.6667 0.6667 0.9999
4 Ac 0.2574 0.2574 0.2276

Values from the calculation:
**Uncorrected energy**: -3.9341 eV/atom
**Offset from the most stable computed form**: 0.13 eV/f.u.
**Calculated density**: 6911 kg/m3

| no. | magnetization (μB/f.u.) |
| --- | --- |
| 1 | 0.0 |
| 2 | 0.0 |
| 3 | 0.0 |
| 4 | 0.0 |
| 5 | 0.0 |
| 6 | 0.1 |
| 7 | 0.0 |
| 8 | 0.0 |
| 9 | 0.0 |
| 10 | 0.0 |
| 11 | 6.6 |
| 12 | 0.0 |